Record 1
Crystalline Cu2SbPb at its relaxed geometry, computed with PBE-GGA.

Values from the calculation:
Raw total energy (eV/atom): -3.535
Density of states at the Fermi level (states/eV/atom): 0.491
ΔE_f (raw) (meV per atom): 471
Space-group type: F-43m, No. 216

a = 4.965 Å, b = 4.965 Å, c = 4.965 Å
α = 60.00°, β = 60.00°, γ = 60.00°
Sites, in units of the cell vectors:
Cu 0.000 0.000 0.000
Sb 0.750 0.750 0.750
Pb 0.500 0.500 0.500
Cu 0.250 0.250 0.250


Record 2
Crystalline CuSb2Pb at its relaxed geometry, computed with PBE-GGA.

Values from the calculation:
Raw total energy (eV/atom): -3.852
Density of states at the Fermi level (states/eV/atom): 0.517
ΔE_f (raw) (meV per atom): 160
Space-group type: Imm2, No. 44

a = 7.193 Å, b = 7.193 Å, c = 7.193 Å
α = 152.84°, β = 142.33°, γ = 47.05°
Sites, in units of the cell vectors:
Sb 0.002 0.002 0.000
Sb 0.674 0.174 0.500
Cu 0.507 0.507 0.000
Pb 0.317 0.817 0.500